# RbAsF2

Crystalline RbAsF2 at its relaxed geometry (GGA-PBE, the Alexandria database).

```
RbAsF2
1.0
7.849 -0.023 -0.014
7.029 3.492 -0.014
7.029 1.639 3.084
F Rb As
2 1 1
direct
0.090 0.090 0.090
0.910 0.910 0.910
0.500 0.500 0.500
0.000 0.000 0.000
```

## Properties
- Space-group type: R-3m, No. 166
- Total moment: 0.28 μB per cell
- Volume: 85.4 Å³ per cell
- Electronic total energy: -4.066 eV/atom